This record from Alexandria via LeMat-Bulk describes a relaxed structure of P3Br2. The functional is PBE.

```
P3Br2
1.0
3.670 0.000 0.000
-1.835 3.178 0.000
0.000 0.000 11.331
P Br
3 2
direct
0.000 0.000 0.000
0.333 0.667 0.450
0.667 0.333 0.550
0.333 0.667 0.862
0.667 0.333 0.138
```

Properties
space-group type = No. 164
energy = -3.53 eV/atom
crystal system = trigonal
formation energy without anion corrections = 37.2 kJ per mole of atoms
polymorph energy (0 for the lowest one) = 0.3146 eV/atom